No. 1
This record from Alexandria describes an optimized crystal structure of AcNd12Ho2. The functional is PBE.

The space group is Cmme (No. 67) and the conventional cell measures 7.2198, 11.7101 and 25.3815 Å, with angles of 90.00, 90.00 and 90.00 degrees. Symmetry generates all atoms from Ac at (0.0000, 0.2500, 0.0142), Nd at (0.0000, 0.0234, 0.9205), Nd at (0.0000, 0.0244, 0.4406), Nd at (0.2307, 0.2500, 0.5837), Nd at (0.2396, 0.2500, 0.1410), Nd at (0.2500, 0.0000, 0.2029), Nd at (0.2500, 0.0000, 0.3272), Ho at (0.0000, 0.2500, 0.2754) and Ho at (0.0000, 0.2500, 0.7292).

The calculated formation energy is 158 meV per atom.

=====

No. 2
This record from Alexandria describes an optimized crystal structure of PmDy14Pu. The functional is PBE.

The space group is Amm2 (No. 38) and the conventional cell measures 11.2713, 7.2173 and 12.4943 Å, with angles of 90.00, 90.00 and 90.00 degrees. Symmetry generates all atoms from Pm at (0.0000, 0.0000, 0.0000), Dy at (0.0000, 0.2504, 0.2495), Dy at (0.2477, 0.0000, 0.3347), Dy at (0.2489, 0.2472, 0.5822), Dy at (0.2528, 0.0000, 0.8328), Dy at (0.5000, 0.0000, 0.9999), Dy at (0.5000, 0.0000, 0.4999), Dy at (0.5000, 0.2499, 0.2498) and Pu at (0.0000, 0.0000, 0.5005).

The calculated formation energy is 32 meV per atom.

=====

No. 3
This record from Alexandria describes an optimized crystal structure of Hg2HBr. The functional is PBE.

The space group is Fm-3m (No. 225) and the conventional cell measures 7.3511, 7.3511 and 7.3511 Å, with angles of 90.00, 90.00 and 90.00 degrees. Symmetry generates all atoms from Hg at (0.2500, 0.2500, 0.2500), H at (0.0000, 0.0000, 0.0000) and Br at (0.0000, 0.0000, 0.5000).

The excess energy over the best structure of this formula in the dataset is 675 meV per atom.

=====

No. 4
This record from Alexandria describes an optimized crystal structure of Na2TaMnZn. The functional is PBE.

The space group is P4/mmm (No. 123) and the conventional cell measures 5.1179, 5.1179 and 4.7639 Å, with angles of 90.00, 90.00 and 90.00 degrees. Symmetry generates all atoms from Na at (0.0000, 0.5000, 0.0000), Ta at (0.0000, 0.0000, 0.5000), Mn at (0.5000, 0.5000, 0.0000) and Zn at (0.5000, 0.5000, 0.5000).

The calculated formation energy is 1622 meV per atom.

=====

No. 5
This record from Alexandria describes an optimized crystal structure of Pr8HgPd2. The functional is PBE.

The space group is Cm (No. 8) and the conventional cell measures 8.8806, 14.1104 and 5.7935 Å, with angles of 90.00, 107.36 and 90.00 degrees. Symmetry generates all atoms from Pr at (0.0000, 0.0000, 0.0000), Pr at (0.0999, 0.3780, 0.7630), Pr at (0.1811, 0.1219, 0.6114), Pr at (0.2808, 0.5000, 0.3749), Pr at (0.3902, 0.2375, 0.1874), Hg at (0.3904, 0.0000, 0.1868) and Pd at (0.3908, 0.2984, 0.6878).

The excess energy over the best structure of this formula in the dataset is 89 meV per atom. The calculated formation energy is -252 meV per atom.

=====

No. 6
This record from Alexandria describes an optimized crystal structure of TiPbAu. The functional is PBE.

The space group is Amm2 (No. 38) and the conventional cell measures 14.2651, 3.2803 and 5.6816 Å, with angles of 90.00, 90.00 and 90.00 degrees. Symmetry generates all atoms from Ti at (0.1387, 0.0000, 0.0000), Pb at (0.3070, 0.0000, 0.6665), Au at (0.0000, 0.0000, 0.6667) and Au at (0.5000, 0.0000, 0.6678).

The calculated formation energy is 88 meV per atom.

=====

No. 7
This record from Alexandria describes an optimized crystal structure of LaPrGdGa. The functional is PBE.

The space group is F-43m (No. 216) and the conventional cell measures 7.7813, 7.7813 and 7.7813 Å, with angles of 90.00, 90.00 and 90.00 degrees. Symmetry generates all atoms from La at (0.0000, 0.0000, 0.0000), Pr at (0.0000, 0.0000, 0.5000), Gd at (0.2500, 0.2500, 0.7500) and Ga at (0.2500, 0.2500, 0.2500).

The calculated formation energy is -135 meV per atom.

=====

No. 8
This record from Alexandria describes an optimized crystal structure of KNa2SbCl6. The functional is PBE.

The space group is R3 (No. 146, hexagonal axes) and the conventional cell measures 7.2561, 7.2561 and 19.5058 Å, with angles of 90.00, 90.00 and 120.00 degrees. Symmetry generates all atoms from K at (0.0000, 0.0000, 0.0000), Na at (0.0000, 0.0000, 0.2829), Na at (0.0000, 0.0000, 0.8018), Sb at (0.0000, 0.0000, 0.4823), Cl at (0.0139, 0.3365, 0.5525) and Cl at (0.0357, 0.6263, 0.0629).

The calculation puts the raw formation energy at -1470.5 meV/atom.

=====

No. 9
This record from Alexandria describes an optimized crystal structure of K3TlBi. The functional is PBE.

The space group is Cmcm (No. 63) and the conventional cell measures 11.1664, 13.7791 and 5.8781 Å, with angles of 90.00, 90.00 and 90.00 degrees. Symmetry generates all atoms from K at (0.0000, 0.0771, 0.2500), K at (0.1808, 0.3356, 0.2500), Tl at (0.0000, 0.4456, 0.7500) and Bi at (0.0000, 0.2193, 0.7500).

The excess energy over the best structure of this formula in the dataset is 0 meV per atom. The calculated formation energy is -276 meV per atom.

=====

No. 10
This record from Alexandria describes an optimized crystal structure of Li2HfOs. The functional is PBE.

The space group is I-42d (No. 122) and the conventional cell measures 3.7130, 3.7130 and 20.5284 Å, with angles of 90.00, 90.00 and 90.00 degrees. Symmetry generates all atoms from Li at (0.2103, 0.7500, 0.1250), Hf at (0.0000, 0.0000, 0.5000) and Os at (0.0000, 0.0000, 0.0000).

The excess energy over the best structure of this formula in the dataset is 0 meV per atom. The calculated formation energy is 231 meV per atom.

=====

No. 11
This record from Alexandria describes an optimized crystal structure of TlOsPb2. The functional is PBE.

The space group is P4mm (No. 99) and the conventional cell measures 3.3432, 3.3432 and 8.8148 Å, with angles of 90.00, 90.00 and 90.00 degrees. Symmetry generates all atoms from Tl at (0.0000, 0.0000, 0.0000), Os at (0.5000, 0.5000, 0.1945), Pb at (0.0000, 0.0000, 0.3853) and Pb at (0.5000, 0.5000, 0.7064).

The excess energy over the best structure of this formula in the dataset is 154 meV per atom. The calculated formation energy is 625 meV per atom.

=====

No. 12
This record from Alexandria describes an optimized crystal structure of Pm6Sb2Pt. The functional is PBE.

The space group is P2_1/c (No. 14) and the conventional cell measures 6.4667, 8.2939 and 12.0973 Å, with angles of 90.00, 120.72 and 90.00 degrees. Symmetry generates all atoms from Pm at (0.0831, 0.1855, 0.4532), Pm at (0.3179, 0.6735, 0.4558), Pm at (0.3687, 0.0278, 0.2415), Sb at (0.1566, 0.1150, 0.7490) and Pt at (0.5000, 0.0000, 0.5000).

The calculation puts the raw formation energy at -750.1 meV/atom.